# 1
A relaxed TlRhO2F crystal, computed with PBEsol.

Geometry as CIF:
```
data_TlRhO2F
_chemical_formula_sum 'Tl1 Rh1 O2 F1'
_space_group_name_H-M_alt 'P 1'
_space_group_IT_number 1
_cell_length_a 3.8179
_cell_length_b 3.8179
_cell_length_c 4.6477
_cell_angle_alpha 90.00
_cell_angle_beta 90.00
_cell_angle_gamma 90.00
loop_
_space_group_symop_operation_xyz
'x,y,z'
loop_
_atom_site_label
_atom_site_fract_x
_atom_site_fract_y
_atom_site_fract_z
Rh1 0.0000 0.0000 0.0000
O1 0.0000 0.5000 0.0000
F1 0.0000 0.0000 0.5000
O2 0.5000 0.0000 0.0000
Tl1 0.5000 0.5000 0.5000
```

## Properties
Space group: P4/mmm (123)
Volume, A^3/atom: 13.5
ΔE_f (raw), eV/atom: -0.813


# 2
A relaxed TaTlW crystal, computed with PBEsol.

Geometry as CIF:
```
data_TaTlW
_chemical_formula_sum 'Ta1 Tl1 W1'
_space_group_name_H-M_alt 'P 1'
_space_group_IT_number 1
_cell_length_a 2.8521
_cell_length_b 4.6896
_cell_length_c 4.6896
_cell_angle_alpha 120.00
_cell_angle_beta 90.00
_cell_angle_gamma 90.00
loop_
_space_group_symop_operation_xyz
'x,y,z'
loop_
_atom_site_label
_atom_site_fract_x
_atom_site_fract_y
_atom_site_fract_z
W1 0.3103 0.6667 0.3333
Tl1 0.6520 0.3333 0.6667
Ta1 0.0377 0.0000 0.0000
```

## Properties
Formation energy, eV per atom: 0.57
Energy above the lowest structure with this stoichiometry, meV per atom: 0
Space group: P3m1 (156)
Volume, A^3/atom: 18.1


# 3
A relaxed TaMnCd crystal, computed with PBEsol.

Geometry as CIF:
```
data_TaMnCd
_chemical_formula_sum 'Ta1 Mn1 Cd1'
_space_group_name_H-M_alt 'P 1'
_space_group_IT_number 1
_cell_length_a 4.3158
_cell_length_b 4.3158
_cell_length_c 4.3158
_cell_angle_alpha 60.00
_cell_angle_beta 60.00
_cell_angle_gamma 60.00
loop_
_space_group_symop_operation_xyz
'x,y,z'
loop_
_atom_site_label
_atom_site_fract_x
_atom_site_fract_y
_atom_site_fract_z
Mn1 0.5000 0.5000 0.5000
Ta1 0.2500 0.2500 0.2500
Cd1 0.0000 0.0000 0.0000
```

## Properties
Formation energy, eV per atom: 1.25
Energy above the lowest structure with this stoichiometry, meV per atom: 427
Space group: F-43m (216)
Volume, A^3/atom: 18.9


# 4
A relaxed Nd5MgAl4 crystal, computed with PBEsol.

Geometry as CIF:
```
data_Nd5MgAl4
_chemical_formula_sum 'Nd5 Mg1 Al4'
_space_group_name_H-M_alt 'P 1'
_space_group_IT_number 1
_cell_length_a 3.6741
_cell_length_b 3.6741
_cell_length_c 18.9549
_cell_angle_alpha 90.00
_cell_angle_beta 90.00
_cell_angle_gamma 90.00
loop_
_space_group_symop_operation_xyz
'x,y,z'
loop_
_atom_site_label
_atom_site_fract_x
_atom_site_fract_y
_atom_site_fract_z
Al1 0.0000 0.0000 0.7950
Mg1 0.0000 0.0000 0.0000
Al2 0.0000 0.0000 0.4025
Nd1 0.5000 0.5000 0.5000
Nd2 0.5000 0.5000 0.3051
Al3 0.0000 0.0000 0.5975
Nd3 0.5000 0.5000 0.6949
Al4 0.0000 0.0000 0.2050
Nd4 0.5000 0.5000 0.8900
Nd5 0.5000 0.5000 0.1100
```

## Properties
Formation energy, eV per atom: -0.30
Space group: P4/mmm (123)
Volume, A^3/atom: 25.6


# 5
A relaxed Zr2CdH2 crystal, computed with PBEsol.

Geometry as CIF:
```
data_Zr2CdH2
_chemical_formula_sum 'Zr2 Cd1 H2'
_space_group_name_H-M_alt 'P 1'
_space_group_IT_number 1
_cell_length_a 3.7049
_cell_length_b 3.7049
_cell_length_c 5.5549
_cell_angle_alpha 109.48
_cell_angle_beta 109.48
_cell_angle_gamma 90.00
loop_
_space_group_symop_operation_xyz
'x,y,z'
loop_
_atom_site_label
_atom_site_fract_x
_atom_site_fract_y
_atom_site_fract_z
Zr1 0.3440 0.3440 0.6880
Zr2 0.6560 0.6560 0.3120
H1 0.2500 0.7500 0.5000
Cd1 0.0000 0.0000 0.0000
H2 0.7500 0.2500 0.5000
```

## Properties
Space group: I4/mmm (139)
Volume, A^3/atom: 13.4


# 6
A relaxed MgCo2Ag crystal, computed with PBEsol.

Geometry as CIF:
```
data_MgCo2Ag
_chemical_formula_sum 'Mg1 Co2 Ag1'
_space_group_name_H-M_alt 'P 1'
_space_group_IT_number 1
_cell_length_a 4.2432
_cell_length_b 4.2432
_cell_length_c 4.2432
_cell_angle_alpha 60.00
_cell_angle_beta 60.00
_cell_angle_gamma 60.00
loop_
_space_group_symop_operation_xyz
'x,y,z'
loop_
_atom_site_label
_atom_site_fract_x
_atom_site_fract_y
_atom_site_fract_z
Co1 0.0000 0.0000 0.0000
Co2 0.7500 0.7500 0.7500
Mg1 0.2500 0.2500 0.2500
Ag1 0.5000 0.5000 0.5000
```

## Properties
Formation energy, eV per atom: 0.27
Space group: F-43m (216)
Volume, A^3/atom: 13.5


# 7
A relaxed CaSe2SN crystal, computed with PBEsol.

Geometry as CIF:
```
data_CaSe2SN
_chemical_formula_sum 'Ca1 Se2 S1 N1'
_space_group_name_H-M_alt 'P 1'
_space_group_IT_number 1
_cell_length_a 3.4341
_cell_length_b 5.1751
_cell_length_c 5.1751
_cell_angle_alpha 90.00
_cell_angle_beta 90.00
_cell_angle_gamma 90.00
loop_
_space_group_symop_operation_xyz
'x,y,z'
loop_
_atom_site_label
_atom_site_fract_x
_atom_site_fract_y
_atom_site_fract_z
S1 0.0000 0.0000 0.0000
Se1 0.0000 0.0000 0.5000
Se2 0.0000 0.5000 0.0000
Ca1 0.5000 0.5000 0.5000
N1 0.5000 0.0000 0.0000
```

## Properties
Space group: P4/mmm (123)
Volume, A^3/atom: 18.4
ΔE_f (raw), eV/atom: -0.032


# 8
A relaxed MgRe4Si crystal, computed with PBEsol.

Geometry as CIF:
```
data_MgRe4Si
_chemical_formula_sum 'Mg1 Re4 Si1'
_space_group_name_H-M_alt 'P 1'
_space_group_IT_number 1
_cell_length_a 5.1482
_cell_length_b 5.1482
_cell_length_c 5.1482
_cell_angle_alpha 60.00
_cell_angle_beta 60.00
_cell_angle_gamma 60.00
loop_
_space_group_symop_operation_xyz
'x,y,z'
loop_
_atom_site_label
_atom_site_fract_x
_atom_site_fract_y
_atom_site_fract_z
Re1 0.1252 0.6249 0.6249
Re2 0.6249 0.1252 0.6249
Mg1 0.0000 0.0000 0.0000
Re3 0.6249 0.6249 0.6249
Si1 0.2500 0.2500 0.2500
Re4 0.6249 0.6249 0.1252
```

## Properties
Space group: F-43m (216)
Volume, A^3/atom: 16.1
ΔE_f (raw), eV/atom: 0.540


# 9
A relaxed Mn2FeCo crystal, computed with PBEsol.

Geometry as CIF:
```
data_Mn2FeCo
_chemical_formula_sum 'Mn2 Fe1 Co1'
_space_group_name_H-M_alt 'P 1'
_space_group_IT_number 1
_cell_length_a 2.7189
_cell_length_b 3.9395
_cell_length_c 4.6491
_cell_angle_alpha 115.07
_cell_angle_beta 107.00
_cell_angle_gamma 90.00
loop_
_space_group_symop_operation_xyz
'x,y,z'
loop_
_atom_site_label
_atom_site_fract_x
_atom_site_fract_y
_atom_site_fract_z
Co1 0.5000 0.0000 0.0000
Fe1 0.0000 0.5000 0.0000
Mn1 0.7475 0.7475 0.4949
Mn2 0.2525 0.2525 0.5051
```

## Properties
Formation energy, eV per atom: 0.16
Energy above the lowest structure with this stoichiometry, meV per atom: 131
Space group: Immm (71)
Volume, A^3/atom: 10.7


# 10
A relaxed Be2FeCo crystal, computed with PBEsol.

Geometry as CIF:
```
data_Be2FeCo
_chemical_formula_sum 'Be2 Fe1 Co1'
_space_group_name_H-M_alt 'P 1'
_space_group_IT_number 1
_cell_length_a 2.4366
_cell_length_b 3.4866
_cell_length_c 4.3144
_cell_angle_alpha 90.00
_cell_angle_beta 106.34
_cell_angle_gamma 90.00
loop_
_space_group_symop_operation_xyz
'x,y,z'
loop_
_atom_site_label
_atom_site_fract_x
_atom_site_fract_y
_atom_site_fract_z
Fe1 0.2084 0.5000 0.7907
Co1 0.5404 0.0000 0.4561
Be1 0.9448 0.5000 0.2653
Be2 0.8064 0.0000 0.9880
```

## Properties
Formation energy, eV per atom: -0.17
Space group: Amm2 (38)
Volume, A^3/atom: 8.8


# 11
A relaxed LiTe2RhI crystal, computed with PBEsol.

Geometry as CIF:
```
data_LiTe2RhI
_chemical_formula_sum 'Li1 Te2 Rh1 I1'
_space_group_name_H-M_alt 'P 1'
_space_group_IT_number 1
_cell_length_a 5.1271
_cell_length_b 5.1271
_cell_length_c 5.6793
_cell_angle_alpha 90.00
_cell_angle_beta 90.00
_cell_angle_gamma 90.00
loop_
_space_group_symop_operation_xyz
'x,y,z'
loop_
_atom_site_label
_atom_site_fract_x
_atom_site_fract_y
_atom_site_fract_z
I1 0.0000 0.0000 0.5000
Li1 0.5000 0.5000 0.5000
Te1 0.0000 0.5000 0.0000
Te2 0.5000 0.0000 0.0000
Rh1 0.0000 0.0000 0.0000
```

## Properties
Space group: P4/mmm (123)
Volume, A^3/atom: 29.9
ΔE_f (raw), eV/atom: -0.007


# 12
A relaxed TaReAg2 crystal, computed with PBEsol.

Geometry as CIF:
```
data_TaReAg2
_chemical_formula_sum 'Ta1 Re1 Ag2'
_space_group_name_H-M_alt 'P 1'
_space_group_IT_number 1
_cell_length_a 2.7644
_cell_length_b 2.7644
_cell_length_c 9.8387
_cell_angle_alpha 81.92
_cell_angle_beta 81.92
_cell_angle_gamma 60.00
loop_
_space_group_symop_operation_xyz
'x,y,z'
loop_
_atom_site_label
_atom_site_fract_x
_atom_site_fract_y
_atom_site_fract_z
Re1 0.0000 0.0000 0.0000
Ta1 0.5000 0.5000 0.5000
Ag1 0.7484 0.7484 0.7549
Ag2 0.2516 0.2516 0.2451
```

## Properties
Formation energy, eV per atom: 0.45
Energy above the lowest structure with this stoichiometry, meV per atom: 169
Space group: R-3m (166)
Volume, A^3/atom: 16.1


Going through the records in order, we get raw total energy values of -27.3, -27.3, -19.7, -46.9, -28.0, -19.4, -22.9, -57.6, -35.6, -25.4, -19.0, -30.7 eV for the cell shown.